{"formula": "ZnHgTe2", "functional": "PBE-GGA", "state": "optimized geometry", "e_form_raw_mev_per_atom": 51, "total_magnetization_mub_per_fu": 0.0, "dos_ef_per_ev_cell": 4.1, "rho_kg_m3": 7744, "vol_a3_per_fu": 112, "lattice": [[1.618, -11.705, 0.000], [1.618, 11.705, 0.000], [0.000, 0.000, 5.901]], "species": ["Zn", "Zn", "Hg", "Hg", "Te", "Te", "Te", "Te"], "fractional_positions": [[0.061, 0.939, 0.750], [0.939, 0.061, 0.250], [0.313, 0.687, 0.750], [0.687, 0.313, 0.250], [0.054, 0.946, 0.250], [0.177, 0.823, 0.750], [0.823, 0.177, 0.250], [0.946, 0.054, 0.750]]}